(1)
Density functional theory data (PBE) for an optimized crystal structure of K2PaAu2S4.

- Raw formation energy: -0.994 eV/atom

Cell lengths 15.5772, 3.9498, 7.9707 Å; angles 90.00, 112.64, 90.00 degrees
Space group C2/m (No. 12)
Asymmetric unit:
K 0.1312 0.0000 0.0778
Pa 0.0000 0.0000 0.5000
Au 0.1948 0.5000 0.5351
S 0.0201 0.5000 0.2794
S 0.1770 0.0000 0.7251


(2)
Density functional theory data (PBE) for an optimized crystal structure of KPaAuSe3.

- Raw formation energy: -1.093 eV/atom

Cell lengths 4.1839, 15.0252, 10.8023 Å; angles 90.00, 90.00, 90.00 degrees
Space group Cmcm (No. 63)
Asymmetric unit:
K 0.0000 0.2484 0.2500
Pa 0.0000 0.0000 0.0000
Au 0.0000 0.4573 0.7500
Se 0.0000 0.0712 0.7500
Se 0.0000 0.3698 0.5441


no.,M_tot (μB/f.u.)
1,0.298
2,1.007